A.
Below is an optimized crystal structure of AlNi3Bi, with properties calculated at the PBE-GGA level.

Structure (extended XYZ):
```
5
Lattice="4.3982 0.0000 0.0000 0.0000 4.3982 0.0000 0.0000 0.0000 4.3982" Properties=species:S:1:pos:R:3 pbc="T T T"
Al 0.0000 0.0000 0.0000
Ni 0.0000 0.0000 2.1991
Ni 0.0000 2.1991 0.0000
Ni 2.1991 0.0000 0.0000
Bi 2.1991 2.1991 2.1991
```

Properties
Total magnetization   0.00 μB per formula unit
Mass density   8.04 g cm⁻³

B.
Below is an optimized crystal structure of AlNi3Bi, with properties calculated at the PBE-GGA level.

Structure (extended XYZ):
```
5
Lattice="4.7447 0.0000 0.0000 0.0000 4.7447 0.0000 0.0000 0.0000 4.7447" Properties=species:S:1:pos:R:3 pbc="T T T"
Al 0.0000 0.0000 0.0000
Ni 0.0000 2.3724 2.3724
Ni 2.3724 0.0000 2.3724
Ni 2.3724 2.3724 0.0000
Bi 2.3724 2.3724 2.3724
```

Properties
Total magnetization   0.00 μB per formula unit
Mass density   6.41 g cm⁻³

Energy ordering: A at the bottom, the next structure 712 meV/atom above.

A.
Below is an optimized crystal structure of Al2TlNiBi, with properties calculated at the PBE-GGA level.

Structure (extended XYZ):
```
5
Lattice="5.1916 0.0000 0.0000 0.0000 5.1916 0.0000 0.0000 0.0000 4.8636" Properties=species:S:1:pos:R:3 pbc="T T T"
Al 0.0000 2.5958 0.0000
Al 2.5958 0.0000 0.0000
Tl 0.0000 0.0000 0.0000
Ni 0.0000 0.0000 2.4318
Bi 2.5958 2.5958 2.4318
```

Properties
Total magnetization   0.00 μB per formula unit
Mass density   6.66 g cm⁻³

B.
Below is an optimized crystal structure of Al2TlNiBi, with properties calculated at the PBE-GGA level.

Structure (extended XYZ):
```
5
Lattice="5.4027 0.0000 0.0000 0.0000 5.4027 0.0000 0.0000 0.0000 6.1732" Properties=species:S:1:pos:R:3 pbc="T T T"
Al 0.0000 2.7014 0.0000
Al 2.7014 0.0000 0.0000
Tl 0.0000 0.0000 3.0866
Ni 2.7014 2.7014 3.0866
Bi 0.0000 0.0000 0.0000
```

Properties
Total magnetization   0.03 μB per formula unit
Mass density   4.85 g cm⁻³

Energy ordering: A at the bottom, the next structure 470 meV/atom above.

A.
Below is an optimized crystal structure of NpAlBi2, with properties calculated at the PBE-GGA level.

Structure (extended XYZ):
```
4
Lattice="4.8338 0.0000 0.0000 0.0000 4.8338 0.0000 0.0000 0.0000 4.4744" Properties=species:S:1:pos:R:3 pbc="T T T"
Np 0.0000 0.0000 0.0000
Al 2.4169 2.4169 0.0000
Bi 0.0000 2.4169 2.2372
Bi 2.4169 0.0000 2.2372
```

Properties
Total magnetization   4.09 μB per formula unit
Mass density   10.83 g cm⁻³

B.
Below is an optimized crystal structure of NpAlBi2, with properties calculated at the PBE-GGA level.

Structure (extended XYZ):
```
4
Lattice="1.6517 0.9536 11.7339 -1.6517 0.9536 11.7339 0.0000 -1.9073 11.7339" Properties=species:S:1:pos:R:3 pbc="T T T"
Np 0.0000 0.0000 0.0000
Al 0.0000 0.0000 17.6009
Bi 0.0000 0.0000 14.5722
Bi 0.0000 0.0000 20.6296
```

Properties
Total magnetization   4.35 μB per formula unit
Mass density   10.21 g cm⁻³

Energy ordering: A at the bottom, the next structure 243 meV/atom above.